Compound: CoNi2OsO6
Source: the Alexandria database
Functional: PBE with a Hubbard U
Structure: optimized geometry

Output
Crystal system: trigonal
DOS at the Fermi energy, states/eV/f.u.: 1.5
Mass density, g/cm³: 7.60
VASP energy, eV per formula unit: -60.2
Size of the total moment, μB per formula unit: 7.02

Cell: 5.411 5.411 5.411 Å, 55.80 55.80 55.80°
Fractional positions:
Co 0.000 0.000 0.000
Ni 0.201 0.201 0.201
Ni 0.700 0.700 0.700
Os 0.501 0.501 0.501
O 0.119 0.386 0.775
O 0.275 0.889 0.618
O 0.386 0.775 0.119
O 0.618 0.275 0.889
O 0.775 0.119 0.386
O 0.889 0.618 0.275